(1)
The following is a DFT calculation (PBE-GGA) of crystalline Tm2AlOs at its relaxed geometry.

The structure in CIF format:
```
data_Tm2AlOs
_cell_length_a 3.2801
_cell_length_b 3.2801
_cell_length_c 30.8044
_cell_angle_alpha 90.00
_cell_angle_beta 90.00
_cell_angle_gamma 120.00
_symmetry_space_group_name_H-M 'R -3 m'
_symmetry_Int_Tables_number 166
_symmetry_space_group_name_Hall '-R 3 2"'
loop_
_atom_site_label
_atom_site_fract_x
_atom_site_fract_y
_atom_site_fract_z
_atom_site_occupancy
Tm1 0.0000 0.0000 0.0997 1
Al1 0.0000 0.0000 0.0000 1
Os1 0.0000 0.0000 0.5000 1
```

The magnetization is 0.000 μB per atom. The relative energy among the computed polymorphs comes out at 677 meV per atom. The value obtained for the total energy is -5.688 eV/atom.

=====

(2)
The following is a DFT calculation (PBE-GGA) of crystalline Tm4AlOs at its relaxed geometry.

The structure in CIF format:
```
data_Tm4AlOs
_cell_length_a 8.4855
_cell_length_b 12.7691
_cell_length_c 6.0211
_cell_angle_alpha 90.00
_cell_angle_beta 107.89
_cell_angle_gamma 90.00
_symmetry_space_group_name_H-M 'C 1 2/c 1'
_symmetry_Int_Tables_number 15
loop_
_symmetry_equiv_pos_as_xyz
'x,y,z'
'-x,-y,-z'
'-x,y,-z+1/2'
'x,-y,z+1/2'
'x+1/2,y+1/2,z'
'-x+1/2,-y+1/2,-z'
'-x+1/2,y+1/2,-z+1/2'
'x+1/2,-y+1/2,z+1/2'
loop_
_atom_site_label
_atom_site_fract_x
_atom_site_fract_y
_atom_site_fract_z
_atom_site_occupancy
Tm1 0.1086 0.1712 0.0481 1
Tm2 0.2165 0.4254 0.3888 1
Al1 0.0000 0.3750 0.7500 1
Os1 0.0000 0.0006 0.2500 1
```

The magnetization is 0.000 μB per atom. The relative energy among the computed polymorphs comes out at 27 meV per atom. The value obtained for the total energy is -5.785 eV/atom.

=====

(3)
The following is a DFT calculation (PBE-GGA) of crystalline TmAl6Os at its relaxed geometry.

The structure in CIF format:
```
data_TmAl6Os
_cell_length_a 5.7801
_cell_length_b 5.7801
_cell_length_c 18.1132
_cell_angle_alpha 90.00
_cell_angle_beta 90.00
_cell_angle_gamma 120.00
_symmetry_space_group_name_H-M 'R -3 m'
_symmetry_Int_Tables_number 166
_symmetry_space_group_name_Hall '-R 3 2"'
loop_
_atom_site_label
_atom_site_fract_x
_atom_site_fract_y
_atom_site_fract_z
_atom_site_occupancy
Tm1 0.0000 0.0000 0.0000 1
Al1 0.0162 0.5081 0.9257 1
Os1 0.0000 0.0000 0.5000 1
```

The magnetization is 0.000 μB per atom. The value obtained for the total energy is -4.713 eV/atom.

=====

(4)
The following is a DFT calculation (PBE-GGA) of crystalline Tm3Al12Os4 at its relaxed geometry.

The structure in CIF format:
```
data_Tm3Al12Os4
_cell_length_a 8.7722
_cell_length_b 8.7722
_cell_length_c 9.5736
_cell_angle_alpha 90.00
_cell_angle_beta 90.00
_cell_angle_gamma 120.00
_symmetry_space_group_name_H-M 'P 63/m m c'
_symmetry_Int_Tables_number 194
_symmetry_space_group_name_Hall '-P 6c 2c'
loop_
_atom_site_label
_atom_site_fract_x
_atom_site_fract_y
_atom_site_fract_z
_atom_site_occupancy
Tm1 0.1947 0.3895 0.2500 1
Al1 0.0000 0.0000 0.2500 1
Al2 0.1232 0.5616 0.7500 1
Al3 0.1635 0.3270 0.5762 1
Al4 0.3333 0.6667 0.0205 1
Os1 0.0000 0.0000 0.0000 1
Os2 0.0000 0.5000 0.0000 1
```

The magnetization is 0.000 μB per atom. The value obtained for the total energy is -6.018 eV/atom.

=====

Look up the magnetization of the second one. 0.000 μB per atom